(1)
Crystalline BeMo2Os at its relaxed geometry. Source: Alexandria, functional PBE.

Properties
- E_form (eV per formula unit) = 0.59
- E_tot (Ry/atom) = -0.6620

abc: 3.175 4.140 4.249
angles: 90.00 90.00 90.00
Space group Pmmm (No. 47)
Inequivalent atoms, fractional coordinates:
Be: 0.000 0.000 0.000 x1
Mo: 0.000 0.500 0.500 x1
Mo: 0.500 0.000 0.500 x1
Os: 0.500 0.500 0.000 x1

---

(2)
Crystalline RbCrSe2Br at its relaxed geometry. Source: Alexandria, functional PBE.

Properties
- raw formation energy (meV per atom) = -629
- E_tot (Ry/atom) = -0.3289

abc: 4.896 4.896 5.701
angles: 90.00 90.00 90.00
Space group P4/mmm (No. 123)
Inequivalent atoms, fractional coordinates:
Rb: 0.000 0.000 0.000 x1
Cr: 0.500 0.500 0.500 x1
Se: 0.000 0.500 0.500 x2
Br: 0.500 0.500 0.000 x1

---

(3)
Crystalline TlReSe2 at its relaxed geometry. Source: Alexandria, functional PBE.

Properties
- raw formation energy (meV per atom) = 622
- energy relative to the lowest polymorph listed for this composition (meV per atom) = 619
- E_tot (Ry/atom) = -0.3545

abc: 3.119 5.028 11.112
angles: 90.00 90.00 90.00
Space group Cmm2 (No. 35)
Inequivalent atoms, fractional coordinates:
Tl: 0.000 0.000 0.000 x2
Re: 0.000 0.500 0.249 x2
Se: 0.000 0.000 0.420 x2
Se: 0.000 0.500 0.716 x2

---

(4)
Crystalline LiHf2NiAg at its relaxed geometry. Source: Alexandria, functional PBE.

Properties
- E_form (eV per formula unit) = 2.15
- E_tot (Ry/atom) = -0.4160

abc: 4.736 4.736 4.904
angles: 90.00 90.00 90.00
Space group P4/mmm (No. 123)
Inequivalent atoms, fractional coordinates:
Li: 0.000 0.000 0.000 x1
Hf: 0.000 0.500 0.500 x2
Ni: 0.500 0.500 0.500 x1
Ag: 0.500 0.500 0.000 x1

---

(5)
Crystalline Ac2Ga5Ni4 at its relaxed geometry. Source: Alexandria, functional PBE.

Properties
- energy relative to the lowest polymorph listed for this composition (meV per atom) = 67
- E_form (eV per formula unit) = -4.50
- E_tot (Ry/atom) = -0.3406

abc: 12.454 5.547 8.084
angles: 90.00 130.31 90.00
Space group C2/m (No. 12)
Inequivalent atoms, fractional coordinates:
Ac: 0.222 0.000 0.290 x4
Ga: 0.000 0.500 0.000 x2
Ga: 0.053 0.242 0.747 x8
Ni: 0.125 0.000 0.558 x4
Ni: 0.218 0.500 0.049 x4

---

(6)
Crystalline TbInPbCl6 at its relaxed geometry. Source: Alexandria, functional PBE.

Properties
- raw formation energy (meV per atom) = -1602
- E_tot (Ry/atom) = -0.2987

abc: 7.3463 7.3463 13.4317
angles: 90.00 90.00 120.00
Space group P-31c (No. 163)
Inequivalent atoms, fractional coordinates:
Tb: 0.3333 0.6667 0.2500 x2
In: 0.0000 0.0000 0.0000 x2
Pb: 0.3333 0.6667 0.7500 x2
Cl: 0.0250 0.3783 0.1363 x12

---

(7)
Crystalline Pu5SbPt2 at its relaxed geometry. Source: Alexandria, functional PBE.

Properties
- raw formation energy (meV per atom) = -581
- E_tot (Ry/atom) = -0.8499

abc: 7.836 7.836 13.128
angles: 90.00 90.00 90.00
Space group I4/mcm (No. 140)
Inequivalent atoms, fractional coordinates:
Pu: 0.000 0.000 0.000 x4
Pu: 0.162 0.338 0.146 x16
Sb: 0.000 0.000 0.250 x4
Pt: 0.133 0.367 0.500 x8

---

(8)
Crystalline RuPt at its relaxed geometry. Source: Alexandria, functional PBE.

Properties
- E_form (eV per formula unit) = 0.09
- E_tot (Ry/atom) = -0.5596

abc: 10.165 2.758 6.569
angles: 90.00 105.10 90.00
Space group Cm (No. 8)
Inequivalent atoms, fractional coordinates:
Ru: 0.000 0.000 0.000 x2
Ru: 0.054 0.000 0.596 x2
Ru: 0.405 0.000 0.276 x2
Pt: 0.172 0.500 0.328 x2
Pt: 0.222 0.500 0.941 x2
Pt: 0.344 0.000 0.667 x2

---

Calculated density / g/cm3: 11.63 4.56 10.45 8.01 8.09 3.67 14.27 16.60
Total magnetic moment / μB/cell: 0.0 2.4 0.0 0.0 0.0 0.0 116.6 0.0
D(E_F) / states/eV per cell: 3.719 3.541 5.230 6.233 16.151 0.000 151.861 13.278